Entry from the Alexandria database: YWO3 after structural relaxation (PBE with a Hubbard U).

Output
total energy: -33.4 eV for the cell shown
calculated volume: 77.5 Å³/cell

a b c (Å): 4.264 4.264 4.264
angles (deg): 90.00 90.00 90.00
Atoms (fractional coordinates):
1 Y 0.000 0.000 0.000
2 W 0.500 0.500 0.500
3 O 0.000 0.000 0.500
4 O 0.000 0.500 0.000
5 O 0.500 0.000 0.000